# 1
A geometry-optimized AsS2IN structure, computed with PBE.

Computed properties:
E_form (uncorrected): 5.17 eV per formula unit
energy above the most stable polymorph in this dataset: 0.000 eV per atom
space group: P4/mmm (123)
crystal system: tetragonal
N(E_F): 0.924 states/eV per atom
magnetization: 0.6 μB/f.u.

a b c (Å): 5.0383 5.0383 3.7091
angles (deg): 90.00 90.00 90.00
Last column: nearest neighbours and their distance in Å.
Fractional coordinates of all 5 atoms:
1 As 0.0000 0.0000 0.0000  2 N 1.85
2 S 0.0000 0.5000 0.0000  2 As 2.52
3 S 0.5000 0.0000 0.0000  2 As 2.52
4 I 0.5000 0.5000 0.5000  8 S 3.13
5 N 0.0000 0.0000 0.5000  2 As 1.85

---

# 2
A geometry-optimized SbAsIN2 structure, computed with PBE.

Computed properties:
E_form (uncorrected): 8.20 eV per formula unit
energy above the most stable polymorph in this dataset: 0.204 eV per atom
space group: P4/mmm (123)
crystal system: tetragonal
N(E_F): 0.828 states/eV per atom
magnetization: 0.0 μB/f.u.

a b c (Å): 4.1552 4.1552 5.5951
angles (deg): 90.00 90.00 90.00
Last column: nearest neighbours and their distance in Å.
Fractional coordinates of all 5 atoms:
1 Sb 0.0000 0.0000 0.0000  4 I 2.94
2 As 0.5000 0.5000 0.5000  4 N 2.08
3 I 0.5000 0.5000 0.0000  2 As 2.80, 4 Sb 2.94
4 N 0.0000 0.5000 0.5000  2 As 2.08
5 N 0.5000 0.0000 0.5000  2 As 2.08

---

# 3
A geometry-optimized SbAsIN2 structure, computed with PBE.

Computed properties:
E_form (uncorrected): 7.18 eV per formula unit
energy above the most stable polymorph in this dataset: 0.000 eV per atom
space group: P4/mmm (123)
crystal system: tetragonal
N(E_F): 0.444 states/eV per atom
magnetization: 2.1 μB/f.u.

a b c (Å): 4.0950 4.0950 7.3172
angles (deg): 90.00 90.00 90.00
Last column: nearest neighbours and their distance in Å.
Fractional coordinates of all 5 atoms:
1 Sb 0.0000 0.0000 0.0000  4 N 2.05
2 As 0.5000 0.5000 0.5000  4 I 2.90
3 I 0.0000 0.0000 0.5000  4 As 2.90
4 N 0.0000 0.5000 0.0000  2 Sb 2.05
5 N 0.5000 0.0000 0.0000  2 Sb 2.05

---

# 4
A geometry-optimized ScAsI2N structure, computed with PBE.

Computed properties:
E_form (uncorrected): 2.26 eV per formula unit
energy above the most stable polymorph in this dataset: 0.197 eV per atom
space group: P4/mmm (123)
crystal system: tetragonal
N(E_F): 0.864 states/eV per atom
magnetization: 0.0 μB/f.u.

a b c (Å): 5.9764 5.9764 3.6875
angles (deg): 90.00 90.00 90.00
Last column: nearest neighbours and their distance in Å.
Fractional coordinates of all 5 atoms:
1 Sc 0.0000 0.0000 0.0000  8 I 3.51, 2 Sc 3.69
2 As 0.5000 0.5000 0.5000  2 N 1.84
3 I 0.0000 0.5000 0.5000  2 As 2.99
4 I 0.5000 0.0000 0.5000  2 As 2.99
5 N 0.5000 0.5000 0.0000  2 As 1.84

---

# 5
A geometry-optimized ScAsIN2 structure, computed with PBE.

Computed properties:
E_form (uncorrected): 4.47 eV per formula unit
energy above the most stable polymorph in this dataset: 0.000 eV per atom
space group: P4/mmm (123)
crystal system: tetragonal
N(E_F): 0.716 states/eV per atom
magnetization: 1.6 μB/f.u.

a b c (Å): 4.1672 4.1672 6.1673
angles (deg): 90.00 90.00 90.00
Last column: nearest neighbours and their distance in Å.
Fractional coordinates of all 5 atoms:
1 Sc 0.0000 0.0000 0.0000  4 N 2.08
2 As 0.5000 0.5000 0.5000  4 I 2.95
3 I 0.0000 0.0000 0.5000  4 As 2.95, 2 Sc 3.08
4 N 0.0000 0.5000 0.0000  2 Sc 2.08
5 N 0.5000 0.0000 0.0000  2 Sc 2.08

---

# 6
A geometry-optimized ScAsI2N structure, computed with PBE.

Computed properties:
E_form (uncorrected): 1.27 eV per formula unit
energy above the most stable polymorph in this dataset: 0.000 eV per atom
space group: P4/mmm (123)
crystal system: tetragonal
N(E_F): 1.394 states/eV per atom
magnetization: 0.1 μB/f.u.

a b c (Å): 5.8698 5.8698 3.8854
angles (deg): 90.00 90.00 90.00
Last column: nearest neighbours and their distance in Å.
Fractional coordinates of all 5 atoms:
1 Sc 0.0000 0.0000 0.0000  2 N 1.94
2 As 0.5000 0.5000 0.5000  8 I 3.52, 2 As 3.89
3 I 0.0000 0.5000 0.0000  2 Sc 2.93
4 I 0.5000 0.0000 0.0000  2 Sc 2.93
5 N 0.0000 0.0000 0.5000  2 Sc 1.94